(1)
## Ag2PtSe (PBE)

Data for a geometry-optimized Ag2PtSe structure.

Geometry as POSCAR:
```
Ag2PtSe
1.0
-2.431 -5.040 6.736
-1.507 -7.258 4.661
0.638 -5.822 6.510
Se Ag Pt
1 2 1
direct
0.760 0.760 0.760
0.246 0.246 0.246
0.000 0.000 0.000
0.495 0.495 0.495
```

Calculated values
The formation energy from raw total energies is 0.108 eV/atom. Its total magnetization is 0.00 μB/cell. Its space-group type is No. 160. The value obtained for the total DFT energy (no corrections) is -3.699 eV per atom.

=====

(2)
## Ag2PtSe (PBE)

Data for a geometry-optimized Ag2PtSe structure.

Geometry as POSCAR:
```
Ag2PtSe
1.0
7.580 0.000 0.000
0.000 7.580 0.000
3.790 3.790 2.667
Pt Ag Se
2 4 2
direct
0.750 0.250 0.500
0.000 0.000 0.000
0.875 0.867 0.750
0.133 0.625 0.250
0.375 0.383 0.750
0.617 0.125 0.250
0.500 0.500 0.000
0.250 0.750 0.500
```

Calculated values
The formation energy from raw total energies is 0.210 eV/atom. Its total magnetization is 0.00 μB/cell. Its space-group type is No. 122. The value obtained for the total DFT energy (no corrections) is -3.597 eV per atom.

=====

(3)
## Ag2PtSe (PBE)

Data for a geometry-optimized Ag2PtSe structure.

Geometry as POSCAR:
```
Ag2PtSe
1.0
10.040 0.019 0.011
9.617 2.883 0.011
9.617 1.420 2.510
Ag Se Pt
2 1 1
direct
0.996 0.996 0.996
0.504 0.504 0.504
0.750 0.750 0.750
0.250 0.250 0.250
```

Calculated values
The formation energy from raw total energies is 0.138 eV/atom. Its total magnetization is 0.00 μB/cell. Its space-group type is No. 166. The value obtained for the total DFT energy (no corrections) is -3.669 eV per atom.

=====

(4)
## Ag2PtSe (PBE)

Data for a geometry-optimized Ag2PtSe structure.

Geometry as POSCAR:
```
Ag2PtSe
1.0
-4.375 1.596 2.275
-4.997 1.197 -0.683
-2.159 -4.187 1.019
Pt Se Ag
1 1 2
direct
0.250 0.250 0.250
0.750 0.750 0.750
0.503 0.503 0.496
0.997 0.997 0.004
```

Calculated values
The formation energy from raw total energies is 0.128 eV/atom. Its total magnetization is 0.00 μB/cell. Its space-group type is No. 12. The value obtained for the total DFT energy (no corrections) is -3.679 eV per atom.

=====

(5)
## AgPt2Se (PBE)

Data for a geometry-optimized AgPt2Se structure.

Geometry as POSCAR:
```
AgPt2Se
1.0
2.891 0.054 0.000
-0.046 2.891 0.000
0.000 0.000 8.319
Ag Pt Se
1 2 1
direct
0.500 0.500 0.767
0.500 0.500 0.248
0.000 0.000 0.013
0.000 0.000 0.472
```

Calculated values
The formation energy from raw total energies is 0.159 eV/atom. Its total magnetization is 0.00 μB/cell. Its space-group type is No. 35. The value obtained for the total DFT energy (no corrections) is -4.445 eV per atom.

=====

(6)
## AgPt2Se (PBE)

Data for a geometry-optimized AgPt2Se structure.

Geometry as POSCAR:
```
AgPt2Se
1.0
-1.076 2.621 -3.237
-2.287 0.871 1.465
3.062 4.117 2.316
Pt Se Ag
2 1 1
direct
0.000 0.250 0.996
0.000 0.250 0.504
0.500 0.250 0.250
0.500 0.750 0.750
```

Calculated values
The formation energy from raw total energies is 0.038 eV/atom. Its total magnetization is 0.00 μB/cell. Its space-group type is No. 10. The value obtained for the total DFT energy (no corrections) is -4.567 eV per atom.

=====

(7)
## AgPt2Se (PBE)

Data for a geometry-optimized AgPt2Se structure.

Geometry as POSCAR:
```
AgPt2Se
1.0
2.958 0.000 0.000
0.000 4.785 0.000
0.000 0.000 4.785
Pt Se Ag
2 1 1
direct
0.000 0.000 0.000
0.000 0.500 0.500
0.500 0.500 0.000
0.500 0.000 0.500
```

Calculated values
The formation energy from raw total energies is 0.178 eV/atom. Its total magnetization is 0.00 μB/cell. Its space-group type is No. 123. The value obtained for the total DFT energy (no corrections) is -4.427 eV per atom.

=====

(8)
## Ag2PtSe (PBE)

Data for a geometry-optimized Ag2PtSe structure.

Geometry as POSCAR:
```
Ag2PtSe
1.0
5.525 -0.009 -0.005
4.603 3.056 -0.005
1.153 0.347 4.541
Se Ag Pt
1 2 1
direct
0.805 0.805 0.744
0.030 0.030 0.953
0.199 0.199 0.336
0.466 0.466 0.467
```

Calculated values
The formation energy from raw total energies is 0.017 eV/atom. Its total magnetization is 0.00 μB/cell. Its space-group type is No. 8. The value obtained for the total DFT energy (no corrections) is -3.790 eV per atom.

=====

(9)
## AgPtSe3 (PBE)

Data for a geometry-optimized AgPtSe3 structure.

Geometry as POSCAR:
```
AgPtSe3
1.0
5.016 0.000 0.000
0.000 5.016 0.000
0.000 0.000 5.016
Se Ag Pt
3 1 1
direct
0.000 0.500 0.000
0.500 0.000 0.000
0.000 0.000 0.500
0.500 0.500 0.500
0.000 0.000 0.000
```

Calculated values
The formation energy from raw total energies is 0.509 eV/atom. Its total magnetization is 1.53 μB/cell. Its space-group type is No. 221. The value obtained for the total DFT energy (no corrections) is -3.361 eV per atom.

=====

(10)
## AgPt2Se (PBE)

Data for a geometry-optimized AgPt2Se structure.

Geometry as POSCAR:
```
AgPt2Se
1.0
5.217 -0.035 0.129
4.333 2.905 0.129
1.550 0.466 4.496
Pt Ag Se
2 1 1
direct
0.018 0.018 0.987
0.482 0.482 0.513
0.250 0.250 0.250
0.750 0.750 0.750
```

Calculated values
The formation energy from raw total energies is 0.159 eV/atom. Its total magnetization is 0.00 μB/cell. Its space-group type is No. 12. The value obtained for the total DFT energy (no corrections) is -4.445 eV per atom.

=====

(11)
## Ag2PtSe2 (PBE)

Data for a geometry-optimized Ag2PtSe2 structure.

Geometry as POSCAR:
```
Ag2PtSe2
1.0
6.865 0.000 0.000
0.000 6.865 0.000
0.000 0.000 4.285
Se Pt Ag
4 2 4
direct
0.169 0.331 0.000
0.831 0.669 0.000
0.669 0.169 0.000
0.331 0.831 0.000
0.000 0.000 0.000
0.500 0.500 0.000
0.347 0.153 0.500
0.653 0.847 0.500
0.847 0.347 0.500
0.153 0.653 0.500
```

Calculated values
The formation energy from raw total energies is 0.053 eV/atom. Its total magnetization is 0.00 μB/cell. Its space-group type is No. 127. The value obtained for the total DFT energy (no corrections) is -3.690 eV per atom.

=====

(12)
## AgPtSe2 (PBE)

Data for a geometry-optimized AgPtSe2 structure.

Geometry as POSCAR:
```
AgPtSe2
1.0
5.826 0.000 0.000
0.000 5.826 0.000
2.913 2.913 5.957
Se Ag Pt
4 2 2
direct
0.875 0.907 0.750
0.657 0.125 0.250
0.375 0.343 0.750
0.093 0.625 0.250
0.250 0.750 0.500
0.500 0.500 0.000
0.750 0.250 0.500
0.000 0.000 0.000
```

Calculated values
The formation energy from raw total energies is -0.002 eV/atom. Its total magnetization is 0.00 μB/cell. Its space-group type is No. 122. The value obtained for the total DFT energy (no corrections) is -3.967 eV per atom.

=====

(13)
## Ag2PtSe (PBE)

Data for a geometry-optimized Ag2PtSe structure.

Geometry as POSCAR:
```
Ag2PtSe
1.0
4.506 0.000 0.000
0.000 3.973 0.000
0.000 0.000 3.973
Pt Se Ag
1 1 2
direct
0.500 0.500 0.000
0.500 0.000 0.500
0.000 0.000 0.000
0.000 0.500 0.500
```

Calculated values
The formation energy from raw total energies is 0.117 eV/atom. Its total magnetization is 0.00 μB/cell. Its space-group type is No. 123. The value obtained for the total DFT energy (no corrections) is -3.690 eV per atom.

=====

(14)
## Ag2PtSe (PBE)

Data for a geometry-optimized Ag2PtSe structure.

Geometry as POSCAR:
```
Ag2PtSe
1.0
-2.462 2.773 5.043
-0.062 -2.118 5.890
3.018 1.779 -5.188
Ag Pt Se
2 1 1
direct
0.034 0.034 0.000
0.691 0.191 0.500
0.474 0.474 0.000
0.301 0.801 0.500
```

Calculated values
The formation energy from raw total energies is 0.030 eV/atom. Its total magnetization is 0.00 μB/cell. Its space-group type is No. 44. The value obtained for the total DFT energy (no corrections) is -3.777 eV per atom.

=====

(15)
## AgPt2Se (PBE)

Data for a geometry-optimized AgPt2Se structure.

Geometry as POSCAR:
```
AgPt2Se
1.0
4.996 0.000 0.000
0.000 2.817 0.000
0.000 0.000 5.023
Ag Se Pt
1 1 2
direct
0.500 0.750 0.848
0.000 0.250 0.404
0.500 0.250 0.345
0.000 0.250 0.903
```

Calculated values
The formation energy from raw total energies is 0.031 eV/atom. Its total magnetization is 0.00 μB/cell. Its space-group type is No. 25. The value obtained for the total DFT energy (no corrections) is -4.574 eV per atom.

=====

(16)
## AgPtSe2 (PBE)

Data for a geometry-optimized AgPtSe2 structure.

Geometry as POSCAR:
```
AgPtSe2
1.0
-3.124 4.023 -1.849
-3.138 -1.074 -4.286
1.052 -2.295 4.795
Pt Se Ag
1 2 1
direct
0.750 0.250 0.500
0.250 0.750 0.500
0.000 0.000 0.000
0.500 0.500 0.000
```

Calculated values
The formation energy from raw total energies is 0.308 eV/atom. Its total magnetization is 0.00 μB/cell. Its space-group type is No. 119. The value obtained for the total DFT energy (no corrections) is -3.657 eV per atom.

=====

(17)
## AgPt2Se (PBE)

Data for a geometry-optimized AgPt2Se structure.

Geometry as POSCAR:
```
AgPt2Se
1.0
-0.824 4.694 1.071
-0.875 0.141 4.804
3.723 -2.030 -2.426
Pt Ag Se
2 1 1
direct
0.000 0.000 0.000
0.500 0.500 0.000
0.750 0.250 0.500
0.250 0.750 0.500
```

Calculated values
The formation energy from raw total energies is 0.234 eV/atom. Its total magnetization is 0.00 μB/cell. Its space-group type is No. 139. The value obtained for the total DFT energy (no corrections) is -4.370 eV per atom.

=====

(18)
## Ag2PtSe (PBE)

Data for a geometry-optimized Ag2PtSe structure.

Geometry as POSCAR:
```
Ag2PtSe
1.0
4.864 0.000 0.000
0.000 2.892 0.003
0.000 2.655 5.191
Ag Pt Se
2 1 1
direct
0.000 0.762 0.008
0.000 0.738 0.492
0.500 0.250 0.250
0.500 0.750 0.750
```

Calculated values
The formation energy from raw total energies is 0.111 eV/atom. Its total magnetization is 0.00 μB/cell. Its space-group type is No. 10. The value obtained for the total DFT energy (no corrections) is -3.696 eV per atom.

=====

(19)
## AgPt2Se (PBE)

Data for a geometry-optimized AgPt2Se structure.

Geometry as POSCAR:
```
AgPt2Se
1.0
4.995 -0.001 0.000
1.660 4.711 0.000
-3.327 -2.355 2.887
Pt Se Ag
2 1 1
direct
0.250 0.750 0.500
0.000 0.000 0.000
0.500 0.500 0.000
0.750 0.250 0.500
```

Calculated values
The formation energy from raw total energies is 0.227 eV/atom. Its total magnetization is 0.00 μB/cell. Its space-group type is No. 119. The value obtained for the total DFT energy (no corrections) is -4.377 eV per atom.

=====

(20)
## AgPt2Se2 (PBE)

Data for a geometry-optimized AgPt2Se2 structure.

Geometry as POSCAR:
```
AgPt2Se2
1.0
-0.991 2.455 2.838
-3.089 1.133 -2.059
-5.655 -2.929 3.214
Pt Se Ag
2 2 1
direct
0.250 0.750 0.500
0.750 0.250 0.500
0.614 0.614 0.773
0.386 0.386 0.227
0.000 0.000 0.000
```

Calculated values
The formation energy from raw total energies is 0.206 eV/atom. Its total magnetization is 0.00 μB/cell. Its space-group type is No. 139. The value obtained for the total DFT energy (no corrections) is -4.174 eV per atom.

=====

(21)
## AgPtSe2 (PBE)

Data for a geometry-optimized AgPtSe2 structure.

Geometry as POSCAR:
```
AgPtSe2
1.0
-1.001 -3.467 -0.248
4.770 -1.302 -1.046
6.025 -2.051 4.376
Ag Se Pt
1 2 1
direct
0.500 0.250 0.250
0.000 0.660 0.576
0.000 0.840 0.924
0.500 0.750 0.750
```

Calculated values
The formation energy from raw total energies is -0.121 eV/atom. Its total magnetization is 0.00 μB/cell. Its space-group type is No. 10. The value obtained for the total DFT energy (no corrections) is -4.086 eV per atom.

=====

(22)
## AgPt2Se (PBE)

Data for a geometry-optimized AgPt2Se structure.

Geometry as POSCAR:
```
AgPt2Se
1.0
-1.590 0.685 -3.586
-3.214 -2.117 1.021
-6.390 6.893 1.940
Se Ag Pt
2 2 4
direct
0.500 0.500 0.000
0.250 0.750 0.500
0.000 0.000 0.000
0.750 0.250 0.500
0.375 0.390 0.750
0.610 0.125 0.250
0.140 0.625 0.250
0.875 0.860 0.750
```

Calculated values
The formation energy from raw total energies is 0.204 eV/atom. Its total magnetization is 0.00 μB/cell. Its space-group type is No. 122. The value obtained for the total DFT energy (no corrections) is -4.401 eV per atom.

=====

(23)
## Ag2PtSe (PBE)

Data for a geometry-optimized Ag2PtSe structure.

Geometry as POSCAR:
```
Ag2PtSe
1.0
-1.859 -0.574 4.849
0.108 -5.027 -3.734
2.007 -2.021 0.530
Se Ag Pt
1 2 1
direct
0.500 0.000 0.500
0.000 0.000 0.000
0.000 0.500 0.500
0.500 0.500 0.000
```

Calculated values
The formation energy from raw total energies is 0.132 eV/atom. Its total magnetization is 0.00 μB/cell. Its space-group type is No. 65. The value obtained for the total DFT energy (no corrections) is -3.675 eV per atom.

=====

(24)
## AgPt2Se (PBE)

Data for a geometry-optimized AgPt2Se structure.

Geometry as POSCAR:
```
AgPt2Se
1.0
-0.609 4.051 2.619
-3.145 -3.207 1.862
2.066 -0.920 1.904
Pt Ag Se
2 1 1
direct
0.000 0.000 0.000
0.500 0.500 0.000
0.000 0.500 0.500
0.500 0.000 0.500
```

Calculated values
The formation energy from raw total energies is 0.170 eV/atom. Its total magnetization is 0.00 μB/cell. Its space-group type is No. 65. The value obtained for the total DFT energy (no corrections) is -4.434 eV per atom.

=====

(25)
## AgPtSe2 (PBE)

Data for a geometry-optimized AgPtSe2 structure.

Geometry as POSCAR:
```
AgPtSe2
1.0
6.512 0.033 -0.011
4.366 4.832 0.011
-5.210 -2.944 2.568
Se Ag Pt
2 1 1
direct
0.059 0.059 0.000
0.780 0.280 0.500
0.439 0.439 0.000
0.222 0.722 0.500
```

Calculated values
The formation energy from raw total energies is 0.111 eV/atom. Its total magnetization is 0.00 μB/cell. Its space-group type is No. 44. The value obtained for the total DFT energy (no corrections) is -3.854 eV per atom.

=====

(26)
## Ag2PtSe (PBE)

Data for a geometry-optimized Ag2PtSe structure.

Geometry as POSCAR:
```
Ag2PtSe
1.0
5.638 0.037 0.069
2.767 4.913 -0.069
-3.638 -3.433 2.602
Ag Pt Se
2 1 1
direct
0.499 0.499 0.000
0.001 0.001 0.000
0.750 0.250 0.500
0.250 0.750 0.500
```

Calculated values
The formation energy from raw total energies is 0.131 eV/atom. Its total magnetization is 0.00 μB/cell. Its space-group type is No. 71. The value obtained for the total DFT energy (no corrections) is -3.676 eV per atom.

=====

(27)
## AgPtSe3 (PBE)

Data for a geometry-optimized AgPtSe3 structure.

Geometry as POSCAR:
```
AgPtSe3
1.0
-6.632 0.207 1.436
-3.217 -5.632 2.005
-2.124 -0.624 6.333
Se Ag Pt
6 2 2
direct
0.916 0.532 0.257
0.704 0.084 0.743
0.532 0.296 0.257
0.084 0.468 0.743
0.468 0.704 0.743
0.296 0.916 0.257
0.095 0.095 0.714
0.905 0.905 0.286
0.666 0.666 0.002
0.334 0.334 0.998
```

Calculated values
The formation energy from raw total energies is -0.163 eV/atom. Its total magnetization is 0.00 μB/cell. Its space-group type is No. 148. The value obtained for the total DFT energy (no corrections) is -4.032 eV per atom.

=====

(28)
## AgPt2Se (PBE)

Data for a geometry-optimized AgPt2Se structure.

Geometry as POSCAR:
```
AgPt2Se
1.0
2.864 -0.017 0.000
-1.432 2.481 0.000
0.000 0.000 9.576
Ag Pt Se
1 2 1
direct
0.500 0.500 0.750
0.000 0.000 0.005
0.000 0.000 0.495
0.500 0.500 0.250
```

Calculated values
The formation energy from raw total energies is 0.205 eV/atom. Its total magnetization is 0.00 μB/cell. Its space-group type is No. 65. The value obtained for the total DFT energy (no corrections) is -4.400 eV per atom.

=====

(29)
## Ag2Pt3Se8 (PBE)

Data for a geometry-optimized Ag2Pt3Se8 structure.

Geometry as POSCAR:
```
Ag2Pt3Se8
1.0
-5.422 1.713 -4.975
-3.915 -4.725 2.639
1.267 4.152 5.785
Se Ag Pt
8 2 3
direct
0.108 0.875 0.215
0.894 0.361 0.235
0.381 0.070 0.761
0.619 0.930 0.239
0.341 0.361 0.235
0.892 0.125 0.785
0.106 0.639 0.765
0.659 0.639 0.765
0.298 0.406 0.596
0.702 0.594 0.404
0.000 0.500 0.000
0.247 0.000 0.000
0.753 0.000 0.000
```

Calculated values
The formation energy from raw total energies is -0.225 eV/atom. Its total magnetization is 0.00 μB/cell. Its space-group type is No. 12. The value obtained for the total DFT energy (no corrections) is -4.202 eV per atom.